(1)
The following is a DFT calculation (PBE) of Ba3GeAs after structural relaxation.

Cell: 6.2535 6.2535 6.2535 Å, 90.00 90.00 90.00°
With the nearest neighbours (Å) after each atom.
Fractional positions:
Ge 0.5000 0.5000 0.5000  12 Ba 4.42
Ba 0.0000 0.0000 0.5000  2 As 3.13
Ba 0.0000 0.5000 0.0000  2 As 3.13
Ba 0.5000 0.0000 0.0000  2 As 3.13
As 0.0000 0.0000 0.0000  6 Ba 3.13

Calculated values
The formation enthalpy at 0 K is -0.403 eV/atom. The value obtained for the energy above the most stable polymorph in this dataset is 340 meV/atom.

(2)
The following is a DFT calculation (PBE) of Ba3Ge4As4 after structural relaxation.

Cell: 4.9862 4.9765 12.8813 Å, 80.33 78.94 90.37°
With the nearest neighbours (Å) after each atom.
Fractional positions:
Ba 0.8516 0.3462 0.2966  7 Ge 3.49-3.89, 8 As 3.52-3.72
Ba 0.0000 0.0000 0.0000  4 As 3.56-3.57, 8 Ge 3.69-3.79
Ba 0.1484 0.6538 0.7034  7 Ge 3.49-3.89, 8 As 3.52-3.72
Ge 0.5508 0.5556 0.8993  1 Ge 2.51, 1 As 2.75
Ge 0.4492 0.4444 0.1008  1 Ge 2.51, 1 As 2.75
Ge 0.7109 0.2171 0.5772  5 As 2.66-2.72
Ge 0.2891 0.7829 0.4228  5 As 2.66-2.72
As 0.6025 0.1137 0.7954  3 Ge 2.72-2.86
As 0.7508 0.7523 0.4986  4 Ge 2.66-2.68
As 0.3975 0.8864 0.2046  3 Ge 2.72-2.86
As 0.2492 0.2478 0.5014  4 Ge 2.66-2.68

Calculated values
The formation enthalpy at 0 K is -0.517 eV/atom.

(3)
The following is a DFT calculation (PBE) of BaGe3As after structural relaxation.

Cell: 5.7488 5.7488 5.7488 Å, 90.00 90.00 90.00°
With the nearest neighbours (Å) after each atom.
Fractional positions:
Ge 0.0000 0.0000 0.5000  2 Ba 2.87
Ge 0.0000 0.5000 0.0000  2 Ba 2.87
Ge 0.5000 0.0000 0.0000  2 Ba 2.87
As 0.5000 0.5000 0.5000  12 Ge 4.06
Ba 0.0000 0.0000 0.0000  6 Ge 2.87

Calculated values
The formation enthalpy at 0 K is 1.555 eV/atom. The value obtained for the energy above the most stable polymorph in this dataset is 1417 meV/atom.

(4)
The following is a DFT calculation (PBE) of BaGeAs2 after structural relaxation.

Cell: 7.5574 7.5574 6.7402 Å, 55.90 55.90 90.00°
With the nearest neighbours (Å) after each atom.
Fractional positions:
As 0.2151 0.6250 0.2500  2 Ge 2.47
As 0.5349 0.1250 0.2500  2 Ge 2.47
As 0.8750 0.7849 0.7500  2 Ge 2.47
As 0.3750 0.4651 0.7500  2 Ge 2.47
Ge 0.5000 0.5000 0.0000  4 As 2.47
Ge 0.2500 0.7500 0.5000  4 As 2.47
Ba 0.0000 0.0000 0.0000  4 As 3.35
Ba 0.7500 0.2500 0.5000  4 As 3.35

Calculated values
The formation enthalpy at 0 K is -0.570 eV/atom.

(5)
The following is a DFT calculation (PBE) of Ba3GeAs after structural relaxation.

Cell: 4.7462 10.5129 9.2885 Å, 92.66 90.02 116.75°
With the nearest neighbours (Å) after each atom.
Fractional positions:
Ba 0.1434 0.9491 0.0634  3 As 3.24-3.52
Ba 0.8999 0.2043 0.3578  3 As 3.24-3.52
Ba 0.2435 0.5485 0.0289  3 As 3.39-3.47, 3 Ge 3.45-3.57
Ba 0.4883 0.2920 0.7948  3 Ge 3.35-3.42, 1 As 3.35
Ba 0.5562 0.8626 0.6265  3 Ge 3.34-3.42, 1 As 3.35
Ba 0.8000 0.6052 0.3929  3 As 3.39-3.47, 3 Ge 3.45-3.56
Ge 0.2050 0.5095 0.6572  2 Ge 2.85
Ge 0.8401 0.6456 0.7648  2 Ge 2.85
As 0.5127 0.3175 0.1561  7 Ba 3.24-3.52
As 0.5307 0.8361 0.2654  7 Ba 3.24-3.52

Calculated values
The formation enthalpy at 0 K is -0.743 eV/atom. The value obtained for the energy above the most stable polymorph in this dataset is 0 meV/atom.

(6)
The following is a DFT calculation (PBE) of BaGeAs3 after structural relaxation.

Cell: 6.8174 6.6013 6.6014 Å, 119.99 90.00 90.00°
With the nearest neighbours (Å) after each atom.
Fractional positions:
Ge 0.0000 0.0000 0.0000  6 As 2.83
Ge 0.5000 0.0000 0.0000  6 As 2.83
As 0.7500 0.6050 0.8025  2 As 2.69, 2 Ge 2.83
As 0.7500 0.1975 0.3950  2 As 2.69, 2 Ge 2.83
As 0.7500 0.1975 0.8025  2 As 2.69, 2 Ge 2.83
As 0.2500 0.8025 0.6050  2 As 2.69, 2 Ge 2.83
As 0.2500 0.8025 0.1975  2 As 2.69, 2 Ge 2.83
As 0.2500 0.3950 0.1975  2 As 2.69, 2 Ge 2.83
Ba 0.7500 0.6667 0.3333  6 As 3.32
Ba 0.2500 0.3333 0.6667  6 As 3.32

Calculated values
The formation enthalpy at 0 K is -0.314 eV/atom. The value obtained for the energy above the most stable polymorph in this dataset is 0 meV/atom.

(7)
The following is a DFT calculation (PBE) of BaGe3As after structural relaxation.

Cell: 5.1929 5.1929 5.1929 Å, 90.00 90.00 90.00°
With the nearest neighbours (Å) after each atom.
Fractional positions:
As 0.0000 0.0000 0.0000  6 Ge 2.60
Ge 0.0000 0.0000 0.5000  2 As 2.60
Ge 0.0000 0.5000 0.0000  2 As 2.60
Ge 0.5000 0.0000 0.0000  2 As 2.60
Ba 0.5000 0.5000 0.5000  12 Ge 3.67

Calculated values
The formation enthalpy at 0 K is 0.137 eV/atom. The value obtained for the energy above the most stable polymorph in this dataset is 0 meV/atom.

(8)
The following is a DFT calculation (PBE) of Ba2GeAs after structural relaxation.

Cell: 5.7275 5.7275 5.7275 Å, 60.00 60.00 60.00°
With the nearest neighbours (Å) after each atom.
Fractional positions:
Ge 0.0000 0.0000 0.0000  8 Ba 3.51
As 0.5000 0.5000 0.5000  8 Ba 3.51
Ba 0.2500 0.2500 0.2500  4 Ge 3.51, 4 As 3.51
Ba 0.7500 0.7500 0.7500  4 As 3.51, 4 Ge 3.51

Calculated values
The formation enthalpy at 0 K is -0.522 eV/atom. The value obtained for the energy above the most stable polymorph in this dataset is 35 meV/atom.

(9)
The following is a DFT calculation (PBE) of BaGeAs2 after structural relaxation.

Cell: 4.1297 4.1297 7.7692 Å, 74.59 74.59 60.00°
With the nearest neighbours (Å) after each atom.
Fractional positions:
Ba 0.5000 0.5000 0.5000  6 As 3.32
Ge 0.0000 0.0000 0.0000  6 As 2.76
As 0.7289 0.7289 0.8132  3 Ge 2.76
As 0.2711 0.2711 0.1868  3 Ge 2.76

Calculated values
The formation enthalpy at 0 K is -0.203 eV/atom.

(10)
The following is a DFT calculation (PBE) of BaGe2As after structural relaxation.

Cell: 8.0288 8.0288 6.6667 Å, 52.98 52.98 90.00°
With the nearest neighbours (Å) after each atom.
Fractional positions:
As 0.5000 0.5000 0.0000  4 Ge 2.58
As 0.2500 0.7500 0.5000  4 Ge 2.58
Ba 0.0000 0.0000 0.0000  8 Ge 3.43-3.57, 2 As 3.49
Ba 0.7500 0.2500 0.5000  8 Ge 3.43-3.57, 2 As 3.49
Ge 0.5455 0.1250 0.2500  2 As 2.58
Ge 0.8750 0.7955 0.7500  2 As 2.58
Ge 0.3750 0.4545 0.7500  2 As 2.58
Ge 0.2045 0.6250 0.2500  2 As 2.58

Calculated values
The formation enthalpy at 0 K is -0.221 eV/atom.

(11)
The following is a DFT calculation (PBE) of BaGeAs2 after structural relaxation.

Cell: 7.9270 7.9270 15.3402 Å, 82.82 82.82 89.91°
With the nearest neighbours (Å) after each atom.
Fractional positions:
As 0.6929 0.3617 0.5660  2 Ge 2.48-2.50
As 0.6383 0.3071 0.9340  2 Ge 2.48-2.50
As 0.1477 0.2380 0.9340  2 Ge 2.48-2.50
As 0.7620 0.8523 0.5660  2 Ge 2.48-2.50
As 0.4144 0.5856 0.7500  2 Ge 2.50
As 0.8523 0.7620 0.0660  2 Ge 2.48-2.50
As 0.5856 0.4144 0.2500  2 Ge 2.50
As 0.3617 0.6929 0.0660  2 Ge 2.48-2.50
As 0.9581 0.5729 0.7486  2 Ge 2.46-2.49
As 0.9463 0.0537 0.7500  2 Ge 2.45
As 0.3071 0.6383 0.4340  2 Ge 2.48-2.50
As 0.0419 0.4271 0.2514  2 Ge 2.46-2.49
As 0.0537 0.9463 0.2500  2 Ge 2.45
As 0.4271 0.0419 0.7514  2 Ge 2.46-2.49
As 0.2380 0.1477 0.4340  2 Ge 2.48-2.50
As 0.5729 0.9581 0.2486  2 Ge 2.46-2.49
Ge 0.7063 0.5822 0.6665  4 As 2.48-2.50
Ge 0.2937 0.4178 0.3335  4 As 2.48-2.50
Ge 0.9157 0.2922 0.8382  4 As 2.45-2.50
Ge 0.0843 0.7078 0.1618  4 As 2.45-2.50
Ge 0.5822 0.7063 0.1665  4 As 2.48-2.50
Ge 0.2922 0.9157 0.3382  4 As 2.45-2.50
Ge 0.7078 0.0843 0.6618  4 As 2.45-2.50
Ge 0.4178 0.2937 0.8335  4 As 2.48-2.50
Ba 0.6568 0.7590 0.8822  7 As 3.37-3.57, 1 Ge 3.73
Ba 0.8493 0.1990 0.1010  7 As 3.25-3.59
Ba 0.8010 0.1507 0.3990  7 As 3.25-3.59
Ba 0.2410 0.3432 0.6178  7 As 3.37-3.57, 1 Ge 3.73
Ba 0.7590 0.6568 0.3822  7 As 3.37-3.57, 1 Ge 3.73
Ba 0.3432 0.2410 0.1178  7 As 3.37-3.57, 1 Ge 3.73
Ba 0.1507 0.8010 0.8990  7 As 3.25-3.59
Ba 0.1990 0.8493 0.6010  7 As 3.25-3.59

Calculated values
The formation enthalpy at 0 K is -0.587 eV/atom.

> Among the records above, which one has the highest formation enthalpy at 0 K?

number 3